Record 1
4
Lattice="3.206 0.000 0.000 1.603 2.777 0.000 1.603 0.926 10.999" Properties=species:S:1:pos:R:3 comment="Tl2CdAs | Alexandria | GGA-PBEsol | optimized geometry" delta_e_f_mev_per_atom=171 crystal_system=trigonal pbc="T T T"
As 3.206 1.851 5.500
Tl 1.603 0.926 2.887
Tl 4.810 2.777 8.112
Cd 0.000 0.000 0.000



Record 2
4
Lattice="3.873 0.000 0.000 0.000 4.672 0.000 0.000 0.000 4.798" Properties=species:S:1:pos:R:3 comment="TlCdAs2 | Alexandria | GGA-PBEsol | optimized geometry" delta_e_f_mev_per_atom=274 crystal_system=orthorhombic pbc="T T T"
Cd 1.936 2.336 0.000
Tl 0.000 2.336 2.399
As 0.000 0.000 0.000
As 1.936 0.000 2.399



Record 3
4
Lattice="-2.394 0.559 -1.886 -3.002 0.170 4.731 2.735 4.745 -1.198" Properties=species:S:1:pos:R:3 comment="TlCdAs2 | Alexandria | GGA-PBEsol | optimized geometry" delta_e_f_mev_per_atom=276 crystal_system=monoclinic pbc="T T T"
Tl -1.197 0.279 -0.943
As -1.501 0.085 2.366
Cd -1.331 2.737 0.823
As 1.367 2.372 -0.599



Record 4
5
Lattice="5.520 0.000 0.000 0.000 5.520 0.000 0.000 0.000 5.520" Properties=species:S:1:pos:R:3 comment="Tl3CdAs | Alexandria | GGA-PBEsol | optimized geometry" delta_e_f_mev_per_atom=405 crystal_system=cubic pbc="T T T"
Tl 2.760 0.000 0.000
Tl 0.000 2.760 0.000
Cd 2.760 2.760 2.760
As 0.000 0.000 0.000
Tl 0.000 0.000 2.760



Record 5
5
Lattice="-1.549 -1.088 -3.371 -0.505 -3.574 1.386 -6.931 4.592 3.919" Properties=species:S:1:pos:R:3 comment="Tl2Cd2As | Alexandria | GGA-PBEsol | optimized geometry" delta_e_f_mev_per_atom=224 crystal_system=tetragonal pbc="T T T"
Cd -4.232 -0.657 2.156
Tl -6.513 1.850 2.395
As 0.000 0.000 0.000
Tl -2.472 -1.921 -0.461
Cd -4.753 0.586 -0.223



Record 6
4
Lattice="3.851 0.000 0.000 0.000 3.851 0.000 -1.925 -1.925 4.699" Properties=species:S:1:pos:R:3 comment="CdAs2W | Alexandria | GGA-PBEsol | optimized geometry" delta_e_f_mev_per_atom=646 crystal_system=tetragonal pbc="T T T"
As 1.925 0.000 2.349
W 0.000 1.925 2.349
As 0.000 0.000 0.000
Cd 1.925 1.925 0.000



Record 7
4
Lattice="3.204 0.000 0.000 0.000 3.204 0.000 0.000 0.000 6.883" Properties=species:S:1:pos:R:3 comment="CdAs2W | Alexandria | GGA-PBEsol | optimized geometry" delta_e_f_mev_per_atom=101 crystal_system=tetragonal pbc="T T T"
Cd 1.602 1.602 0.000
W 1.602 1.602 3.441
As 0.000 0.000 4.857
As 0.000 0.000 2.026



Record 8
4
Lattice="-1.681 -0.099 2.839 -1.043 -4.345 -0.768 3.760 -1.289 2.182" Properties=species:S:1:pos:R:3 comment="CdAs2W | Alexandria | GGA-PBEsol | optimized geometry" delta_e_f_mev_per_atom=550 crystal_system=tetragonal pbc="T T T"
As 1.880 -0.644 1.091
Cd -0.841 -0.049 1.419
W 0.518 -2.866 2.126
As -0.521 -2.173 -0.384



| no. | VASP energy (eV per cell) |
| --- | --- |
| 1 | -10.9 |
| 2 | -12.9 |
| 3 | -12.9 |
| 4 | -12.2 |
| 5 | -11.6 |
| 6 | -22.6 |
| 7 | -24.8 |
| 8 | -23.0 |